Here is a relaxed MnRe2Au crystal from Alexandria. Energies are from PBE-GGA.

Cell: 2.724 2.724 7.862 Å, 90.00 90.00 90.00°
Space group P4/mmm (No. 123)
One atom of each set of equivalent atoms:
Mn (0.000, 0.000, 0.000) (multiplicity 1)
Re (0.500, 0.500, 0.218) (multiplicity 2)
Au (0.000, 0.000, 0.500) (multiplicity 1)

Energy of formation, eV/atom: 0.30
V, Å³ per cell: 58
Excess energy over the best structure of this formula in the dataset, meV per atom: 100

Here is a relaxed Mn2ReAu crystal from Alexandria. Energies are from PBE-GGA.

Cell: 8.731 2.737 4.829 Å, 90.00 100.71 90.00°
Space group C2/m (No. 12)
One atom of each set of equivalent atoms:
Mn (0.244, 0.000, 0.195) (multiplicity 4)
Re (0.000, 0.500, 0.000) (multiplicity 2)
Au (0.000, 0.000, 0.500) (multiplicity 2)

Energy of formation, eV/atom: 0.37
V, Å³ per cell: 113
Excess energy over the best structure of this formula in the dataset, meV per atom: 244

Here is a relaxed Mn2ReAu crystal from Alexandria. Energies are from PBE-GGA.

Cell: 2.8586 2.8586 25.6518 Å, 90.00 90.00 120.00°
Space group R-3m (No. 166, hexagonal axes)
One atom of each set of equivalent atoms:
Mn (0.0000, 0.0000, 0.2456) (multiplicity 6)
Re (0.0000, 0.0000, 0.5000) (multiplicity 3)
Au (0.0000, 0.0000, 0.0000) (multiplicity 3)

Energy of formation, eV/atom: 0.22
V, Å³ per cell: 182
Excess energy over the best structure of this formula in the dataset, meV per atom: 98

Here is a relaxed MnReAu2 crystal from Alexandria. Energies are from PBE-GGA.

Cell: 4.038 4.038 3.973 Å, 90.00 90.00 90.00°
Space group P4/mmm (No. 123)
One atom of each set of equivalent atoms:
Mn (0.000, 0.000, 0.000) (multiplicity 1)
Re (0.500, 0.500, 0.000) (multiplicity 1)
Au (0.000, 0.500, 0.500) (multiplicity 2)

Energy of formation, eV/atom: 0.49
V, Å³ per cell: 65
Excess energy over the best structure of this formula in the dataset, meV per atom: 290

Here is a relaxed MnRe2Au crystal from Alexandria. Energies are from PBE-GGA.

Cell: 2.797 3.896 5.611 Å, 90.00 90.46 90.00°
Space group Pm (No. 6)
One atom of each set of equivalent atoms:
Mn (0.000, 0.000, 0.000) (multiplicity 1)
Re (0.013, 0.000, 0.541) (multiplicity 1)
Re (0.487, 0.500, 0.752) (multiplicity 1)
Au (0.501, 0.500, 0.250) (multiplicity 1)

Energy of formation, eV/atom: 0.23
V, Å³ per cell: 61
Excess energy over the best structure of this formula in the dataset, meV per atom: 33

Here is a relaxed MnReAu2 crystal from Alexandria. Energies are from PBE-GGA.

Cell: 5.743 8.214 2.742 Å, 90.00 90.00 90.00°
Space group Cmmm (No. 65)
One atom of each set of equivalent atoms:
Mn (0.000, 0.000, 0.000) (multiplicity 2)
Re (0.000, 0.500, 0.000) (multiplicity 2)
Au (0.250, 0.250, 0.500) (multiplicity 4)

Energy of formation, eV/atom: 0.37
V, Å³ per cell: 129
Excess energy over the best structure of this formula in the dataset, meV per atom: 167

Here is a relaxed MnRe2Au crystal from Alexandria. Energies are from PBE-GGA.

Cell: 7.037 7.037 5.173 Å, 90.00 90.00 90.00°
Space group I-42d (No. 122)
One atom of each set of equivalent atoms:
Mn (0.000, 0.000, 0.000) (multiplicity 4)
Re (0.192, 0.250, 0.125) (multiplicity 8)
Au (0.000, 0.000, 0.500) (multiplicity 4)

Energy of formation, eV/atom: 0.76
V, Å³ per cell: 256
Excess energy over the best structure of this formula in the dataset, meV per atom: 562

Here is a relaxed MnRe2Au crystal from Alexandria. Energies are from PBE-GGA.

Cell: 2.758 3.823 5.591 Å, 90.00 90.12 90.00°
Space group P2/m (No. 10)
One atom of each set of equivalent atoms:
Mn (0.000, 0.000, 0.000) (multiplicity 1)
Re (0.498, 0.500, 0.215) (multiplicity 2)
Au (0.000, 0.000, 0.500) (multiplicity 1)

Energy of formation, eV/atom: 0.30
V, Å³ per cell: 59
Excess energy over the best structure of this formula in the dataset, meV per atom: 100

Here is a relaxed MnRe2Au crystal from Alexandria. Energies are from PBE-GGA.

Cell: 2.8256 2.8256 27.0025 Å, 90.00 90.00 120.00°
Space group R3m (No. 160, hexagonal axes)
One atom of each set of equivalent atoms:
Mn (0.0000, 0.0000, 0.0000) (multiplicity 3)
Re (0.0000, 0.0000, 0.4914) (multiplicity 3)
Re (0.0000, 0.0000, 0.7472) (multiplicity 3)
Au (0.0000, 0.0000, 0.2499) (multiplicity 3)

Energy of formation, eV/atom: 0.20
V, Å³ per cell: 187
Excess energy over the best structure of this formula in the dataset, meV per atom: 0

Here is a relaxed MnReAu2 crystal from Alexandria. Energies are from PBE-GGA.

Cell: 6.374 6.374 6.374 Å, 90.00 90.00 90.00°
Space group F-43m (No. 216)
One atom of each set of equivalent atoms:
Mn (0.000, 0.000, 0.000) (multiplicity 4)
Re (0.250, 0.250, 0.250) (multiplicity 4)
Au (0.000, 0.000, 0.500) (multiplicity 4)
Au (0.250, 0.250, 0.750) (multiplicity 4)

Energy of formation, eV/atom: 0.49
V, Å³ per cell: 259
Excess energy over the best structure of this formula in the dataset, meV per atom: 292

Here is a relaxed Mn2ReAu crystal from Alexandria. Energies are from PBE-GGA.

Cell: 3.776 3.776 8.031 Å, 90.00 90.00 90.00°
Space group I-4m2 (No. 119)
One atom of each set of equivalent atoms:
Mn (0.000, 0.000, 0.000) (multiplicity 2)
Mn (0.000, 0.500, 0.250) (multiplicity 2)
Re (0.000, 0.500, 0.750) (multiplicity 2)
Au (0.000, 0.000, 0.500) (multiplicity 2)

Energy of formation, eV/atom: 0.29
V, Å³ per cell: 115
Excess energy over the best structure of this formula in the dataset, meV per atom: 161

Here is a relaxed MnReAu2 crystal from Alexandria. Energies are from PBE-GGA.

Cell: 4.988 2.755 4.989 Å, 90.00 109.63 90.00°
Space group P2/m (No. 10)
One atom of each set of equivalent atoms:
Mn (0.000, 0.000, 0.000) (multiplicity 1)
Re (0.000, 0.500, 0.500) (multiplicity 1)
Au (0.500, 0.000, 0.500) (multiplicity 1)
Au (0.500, 0.500, 0.000) (multiplicity 1)

Energy of formation, eV/atom: 0.41
V, Å³ per cell: 65
Excess energy over the best structure of this formula in the dataset, meV per atom: 206

Here is a relaxed MnReAu2 crystal from Alexandria. Energies are from PBE-GGA.

Cell: 2.768 4.114 5.675 Å, 90.00 90.00 90.00°
Space group Pmmm (No. 47)
One atom of each set of equivalent atoms:
Mn (0.000, 0.000, 0.000) (multiplicity 1)
Re (0.000, 0.000, 0.500) (multiplicity 1)
Au (0.500, 0.500, 0.252) (multiplicity 2)

Energy of formation, eV/atom: 0.40
V, Å³ per cell: 65
Excess energy over the best structure of this formula in the dataset, meV per atom: 195

Here is a relaxed MnRe2Au crystal from Alexandria. Energies are from PBE-GGA.

Cell: 3.808 3.808 8.240 Å, 90.00 90.00 90.00°
Space group I4/mmm (No. 139)
One atom of each set of equivalent atoms:
Mn (0.000, 0.000, 0.000) (multiplicity 2)
Re (0.000, 0.500, 0.250) (multiplicity 4)
Au (0.000, 0.000, 0.500) (multiplicity 2)

Energy of formation, eV/atom: 0.37
V, Å³ per cell: 120
Excess energy over the best structure of this formula in the dataset, meV per atom: 173

Here is a relaxed MnRe2Au crystal from Alexandria. Energies are from PBE-GGA.

Cell: 3.813 3.813 4.098 Å, 90.00 90.00 90.00°
Space group P4/mmm (No. 123)
One atom of each set of equivalent atoms:
Mn (0.000, 0.000, 0.000) (multiplicity 1)
Re (0.000, 0.500, 0.500) (multiplicity 2)
Au (0.500, 0.500, 0.000) (multiplicity 1)

Energy of formation, eV/atom: 0.32
V, Å³ per cell: 60
Excess energy over the best structure of this formula in the dataset, meV per atom: 115

Here is a relaxed MnRe2Au crystal from Alexandria. Energies are from PBE-GGA.

Cell: 3.114 4.323 8.970 Å, 90.00 90.00 90.00°
Space group Cmmm (No. 65)
One atom of each set of equivalent atoms:
Mn (0.000, 0.000, 0.000) (multiplicity 2)
Re (0.000, 0.500, 0.225) (multiplicity 4)
Au (0.000, 0.000, 0.500) (multiplicity 2)

Energy of formation, eV/atom: 0.35
V, Å³ per cell: 121
Excess energy over the best structure of this formula in the dataset, meV per atom: 148

Number 1: VASP energy -9.03 eV per atom. Number 2: VASP energy -8.15 eV per atom. Number 3: VASP energy -8.29 eV per atom. Number 4: VASP energy -6.55 eV per atom. Number 5: VASP energy -9.10 eV per atom. Number 6: VASP energy -6.68 eV per atom. Number 7: VASP energy -8.57 eV per atom. Number 8: VASP energy -9.04 eV per atom. Number 9: VASP energy -9.14 eV per atom. Number 10: VASP energy -6.55 eV per atom. Number 11: VASP energy -8.23 eV per atom. Number 12: VASP energy -6.64 eV per atom. Number 13: VASP energy -6.65 eV per atom. Number 14: VASP energy -8.96 eV per atom. Number 15: VASP energy -9.02 eV per atom. Number 16: VASP energy -8.99 eV per atom.